VASP calculation (PBE) on a relaxed PrDySc2 crystal. Values from VASP.

The value obtained for the density of states at the Fermi level is 5.52 states/eV/f.u. For the formation energy, the calculation gives 0.080 eV per atom. The crystal system is cubic. Its total energy is -5.43 eV/atom. For the excess energy over the best structure of this formula in the dataset, the calculation gives 2.1 kJ per mole of atoms.

Cell and atoms, written as Quantum ESPRESSO input:
```
&SYSTEM
  ibrav = 0, nat = 4, ntyp = 3
/
ATOMIC_SPECIES
Pr 140.91 Pr.upf
Dy 162.50 Dy.upf
Sc 44.96 Sc.upf
CELL_PARAMETERS angstrom
0.000 3.868 3.868
3.868 0.000 3.868
3.868 3.868 0.000
ATOMIC_POSITIONS crystal
Pr 0.000 0.000 0.000
Dy 0.500 0.500 0.500
Sc 0.250 0.250 0.250
Sc 0.750 0.750 0.750
```